[1]
# Dy2Cd5Hg | Alexandria via LeMat-Bulk | GGA-PBE | optimized geometry
# - E (eV per cell) = -44.2
# - crystal system = trigonal
# - V (Å³/cell) = 644
data_Dy2Cd5Hg
_chemical_formula_sum 'Dy6 Cd15 Hg3'
_cell_length_a 4.7579
_cell_length_b 4.7579
_cell_length_c 32.8379
_cell_angle_alpha 90.00
_cell_angle_beta 90.00
_cell_angle_gamma 120.00
_space_group_name_H-M_alt 'R -3 m'
_space_group_IT_number 166
_space_group_name_Hall '-R 3 2"'
loop_
_atom_site_label
_atom_site_type_symbol
_atom_site_fract_x
_atom_site_fract_y
_atom_site_fract_z
_atom_site_occupancy
Dy1 Dy 0.0000 0.0000 0.0954 1
Cd1 Cd 0.0000 0.0000 0.1964 1
Cd2 Cd 0.0000 0.0000 0.3750 1
Cd3 Cd 0.0000 0.0000 0.5000 1
Hg1 Hg 0.0000 0.0000 0.0000 1

---

[2]
# ZrSi4As | Alexandria via LeMat-Bulk | GGA-PBE | optimized geometry
# - E (eV per cell) = -139.8
# - raw formation energy (kJ per mole of atoms) = -1
# - crystal system = cubic
# - V (Å³/cell) = 378
data_ZrSi4As
_chemical_formula_sum 'Zr4 Si16 As4'
_cell_length_a 7.2293
_cell_length_b 7.2293
_cell_length_c 7.2293
_cell_angle_alpha 90.00
_cell_angle_beta 90.00
_cell_angle_gamma 90.00
_space_group_name_H-M_alt 'F -4 3 m'
_space_group_IT_number 216
_space_group_name_Hall 'F -4 2 3'
loop_
_atom_site_label
_atom_site_type_symbol
_atom_site_fract_x
_atom_site_fract_y
_atom_site_fract_z
_atom_site_occupancy
Zr1 Zr 0.0000 0.0000 0.0000 1
Si1 Si 0.1246 0.1246 0.3754 1
As1 As 0.2500 0.2500 0.7500 1

---

[3]
# TaCSe3 | Alexandria via LeMat-Bulk | GGA-PBE | optimized geometry
# - E (eV per cell) = -26.1
# - raw formation energy (kJ per mole of atoms) = 105
# - crystal system = cubic
# - V (Å³/cell) = 81
data_TaCSe3
_chemical_formula_sum 'Ta1 C1 Se3'
_cell_length_a 4.3312
_cell_length_b 4.3312
_cell_length_c 4.3312
_cell_angle_alpha 90.00
_cell_angle_beta 90.00
_cell_angle_gamma 90.00
_space_group_name_H-M_alt 'P m -3 m'
_space_group_IT_number 221
_space_group_name_Hall '-P 4 2 3'
loop_
_atom_site_label
_atom_site_type_symbol
_atom_site_fract_x
_atom_site_fract_y
_atom_site_fract_z
_atom_site_occupancy
Ta1 Ta 0.0000 0.0000 0.0000 1
C1 C 0.5000 0.5000 0.5000 1
Se1 Se 0.0000 0.5000 0.5000 1

---

[4]
# CaGa2Ru2 | Alexandria via LeMat-Bulk | GGA-PBE | optimized geometry
# - E (eV per cell) = -55.6
# - crystal system = tetragonal
# - V (Å³/cell) = 165
data_CaGa2Ru2
_chemical_formula_sum 'Ca2 Ga4 Ru4'
_cell_length_a 7.4725
_cell_length_b 7.4725
_cell_length_c 2.9634
_cell_angle_alpha 90.00
_cell_angle_beta 90.00
_cell_angle_gamma 90.00
_space_group_name_H-M_alt 'P 4/m b m'
_space_group_IT_number 127
_space_group_name_Hall '-P 4 2ab'
loop_
_atom_site_label
_atom_site_type_symbol
_atom_site_fract_x
_atom_site_fract_y
_atom_site_fract_z
_atom_site_occupancy
Ca1 Ca 0.0000 0.0000 0.0000 1
Ga1 Ga 0.1510 0.3491 0.5000 1
Ru1 Ru 0.1408 0.6408 0.0000 1

---

[5]
# YMnRu2 | Alexandria via LeMat-Bulk | GGA-PBE | optimized geometry
# - E (eV per cell) = -34.0
# - crystal system = tetragonal
# - V (Å³/cell) = 67
data_YMnRu2
_chemical_formula_sum 'Y1 Mn1 Ru2'
_cell_length_a 4.4932
_cell_length_b 4.4932
_cell_length_c 3.3057
_cell_angle_alpha 90.00
_cell_angle_beta 90.00
_cell_angle_gamma 90.00
_space_group_name_H-M_alt 'P 4/m m m'
_space_group_IT_number 123
_space_group_name_Hall '-P 4 2'
loop_
_atom_site_label
_atom_site_type_symbol
_atom_site_fract_x
_atom_site_fract_y
_atom_site_fract_z
_atom_site_occupancy
Y1 Y 0.0000 0.0000 0.0000 1
Mn1 Mn 0.5000 0.5000 0.0000 1
Ru1 Ru 0.0000 0.5000 0.5000 1

---

[6]
# SrCo2Si | Alexandria via LeMat-Bulk | GGA-PBE | optimized geometry
# - E (eV per cell) = -37.8
# - raw formation energy (kJ per mole of atoms) = 58
# - crystal system = tetragonal
# - V (Å³/cell) = 139
data_SrCo2Si
_chemical_formula_sum 'Sr2 Co4 Si2'
_cell_length_a 4.6049
_cell_length_b 4.6049
_cell_length_c 6.5565
_cell_angle_alpha 90.00
_cell_angle_beta 90.00
_cell_angle_gamma 90.00
_space_group_name_H-M_alt 'I -4 m 2'
_space_group_IT_number 119
_space_group_name_Hall 'I -4 -2'
loop_
_atom_site_label
_atom_site_type_symbol
_atom_site_fract_x
_atom_site_fract_y
_atom_site_fract_z
_atom_site_occupancy
Sr1 Sr 0.0000 0.0000 0.0000 1
Co1 Co 0.0000 0.0000 0.5000 1
Co2 Co 0.0000 0.5000 0.2500 1
Si1 Si 0.0000 0.5000 0.7500 1

---

[7]
# Mg5Zr | Alexandria via LeMat-Bulk | GGA-PBE | optimized geometry
# - E (eV per cell) = -16.5
# - crystal system = tetragonal
# - V (Å³/cell) = 135
data_Mg5Zr
_chemical_formula_sum 'Mg5 Zr1'
_cell_length_a 3.2560
_cell_length_b 3.2560
_cell_length_c 12.7044
_cell_angle_alpha 90.00
_cell_angle_beta 90.00
_cell_angle_gamma 90.00
_space_group_name_H-M_alt 'P 4/m m m'
_space_group_IT_number 123
_space_group_name_Hall '-P 4 2'
loop_
_atom_site_label
_atom_site_type_symbol
_atom_site_fract_x
_atom_site_fract_y
_atom_site_fract_z
_atom_site_occupancy
Mg1 Mg 0.0000 0.0000 0.0000 1
Mg2 Mg 0.0000 0.0000 0.3318 1
Mg3 Mg 0.5000 0.5000 0.1648 1
Zr1 Zr 0.5000 0.5000 0.5000 1

---

[8]
# MnCoRu | Alexandria via LeMat-Bulk | GGA-PBE | optimized geometry
# - E (eV per cell) = -50.4
# - crystal system = orthorhombic
# - V (Å³/cell) = 72
data_MnCoRu
_chemical_formula_sum 'Mn2 Co2 Ru2'
_cell_length_a 2.6038
_cell_length_b 3.5767
_cell_length_c 7.6998
_cell_angle_alpha 90.00
_cell_angle_beta 90.00
_cell_angle_gamma 90.00
_space_group_name_H-M_alt 'I m m 2'
_space_group_IT_number 44
loop_
_space_group_symop_operation_xyz
'x,y,z'
'-x,-y,z'
'-x,y,z'
'x,-y,z'
'x+1/2,y+1/2,z+1/2'
'-x+1/2,-y+1/2,z+1/2'
'-x+1/2,y+1/2,z+1/2'
'x+1/2,-y+1/2,z+1/2'
loop_
_atom_site_label
_atom_site_type_symbol
_atom_site_fract_x
_atom_site_fract_y
_atom_site_fract_z
_atom_site_occupancy
Mn1 Mn 0.0000 0.0000 0.0000 1
Co1 Co 0.0000 0.0000 0.3367 1
Ru1 Ru 0.0000 0.0000 0.6679 1

---

Q: Which value of E does entry 4 give?
A: -55.6 eV per cell